[1]
PBE PmInSb, optimized geometry; space-group type = F-43m (216); distance to the lowest polymorph of the same formula = 0.0 meV per atom
1.0
0.000 3.684 3.684
3.684 0.000 3.684
3.684 3.684 0.000
Pm In Sb
1 1 1
direct
0.000 0.000 0.000
0.750 0.750 0.750
0.250 0.250 0.250

***

[2]
PBE ZnS, optimized geometry; space-group type = P3m1 (156); energy = -3.508 eV/atom
1.0
3.834 0.000 0.000
-1.917 3.321 0.000
0.000 0.000 43.924
Zn S
14 14
direct
0.000 0.000 0.000
0.000 0.000 0.143
0.000 0.000 0.286
0.000 0.000 0.571
0.000 0.000 0.786
0.333 0.667 0.214
0.333 0.667 0.429
0.333 0.667 0.643
0.333 0.667 0.929
0.667 0.333 0.071
0.667 0.333 0.357
0.667 0.333 0.500
0.667 0.333 0.714
0.667 0.333 0.857
0.000 0.000 0.054
0.000 0.000 0.196
0.000 0.000 0.339
0.000 0.000 0.625
0.000 0.000 0.839
0.333 0.667 0.268
0.333 0.667 0.482
0.333 0.667 0.696
0.333 0.667 0.982
0.667 0.333 0.125
0.667 0.333 0.411
0.667 0.333 0.554
0.667 0.333 0.768
0.667 0.333 0.911

***

[3]
PBE PrZnInSe3, optimized geometry; space-group type = Pnma (62); distance to the lowest polymorph of the same formula = 5.4 meV per atom
1.0
11.857 0.000 0.000
0.000 4.340 0.000
0.000 0.000 12.531
Pr Zn In Se
4 4 4 12
direct
0.021 0.250 0.176
0.479 0.750 0.676
0.521 0.250 0.324
0.979 0.750 0.824
0.248 0.750 0.300
0.252 0.250 0.800
0.748 0.750 0.200
0.752 0.250 0.700
0.169 0.250 0.505
0.331 0.750 0.005
0.669 0.250 0.995
0.831 0.750 0.495
0.045 0.750 0.344
0.105 0.250 0.940
0.219 0.750 0.697
0.281 0.250 0.197
0.395 0.750 0.440
0.455 0.250 0.844
0.545 0.750 0.156
0.605 0.250 0.560
0.719 0.750 0.803
0.781 0.250 0.303
0.895 0.750 0.060
0.955 0.250 0.656

***

[4]
PBE Rb2HoErO4, optimized geometry; space-group type = P-3m1 (164); energy = -6.576 eV/atom
1.0
3.443 0.000 0.000
-1.721 2.982 0.000
0.000 0.000 12.903
Rb Ho Er O
2 1 1 4
direct
0.333 0.667 0.250
0.667 0.333 0.750
0.000 0.000 0.000
0.000 0.000 0.500
0.333 0.667 0.588
0.333 0.667 0.911
0.667 0.333 0.089
0.667 0.333 0.412

***

[5]
PBE GaCo2Re, optimized geometry; space-group type = F-43m (216); energy = -7.281 eV/atom
1.0
0.000 2.914 2.914
2.914 0.000 2.914
2.914 2.914 0.000
Ga Co Re
1 2 1
direct
0.000 0.000 0.000
0.250 0.250 0.250
0.500 0.500 0.500
0.750 0.750 0.750

***

[6]
PBE BaUAs, optimized geometry; space-group type = F-43m (216); distance to the lowest polymorph of the same formula = 0.0 meV per atom
1.0
0.000 3.627 3.627
3.627 0.000 3.627
3.627 3.627 0.000
Ba U As
1 1 1
direct
0.000 0.000 0.000
0.750 0.750 0.750
0.500 0.500 0.500

***

[7]
PBE Ta2Si2Os, optimized geometry; space-group type = I4/mmm (139); energy = -8.613 eV/atom
1.0
-1.944 1.944 5.502
1.944 -1.944 5.502
1.944 1.944 -5.502
Ta Si Os
2 2 1
direct
0.250 0.750 0.500
0.750 0.250 0.500
0.096 0.096 0.000
0.904 0.904 0.000
0.500 0.500 0.000

***

[8]
PBE PmHoPu, optimized geometry; space-group type = F-43m (216); distance to the lowest polymorph of the same formula = 0.0 meV per atom; energy of formation from the pure elements = 809.6 meV per atom
1.0
0.000 3.668 3.668
3.668 0.000 3.668
3.668 3.668 0.000
Pm Ho Pu
1 1 1
direct
0.000 0.000 0.000
0.500 0.500 0.500
0.750 0.750 0.750

***

> What is the formula in the eighth record?

PmHoPu